Entry 1:
DFT (PBE-GGA) results for a relaxed BaY2W crystal.

Properties
- density of states at the Fermi level (states/eV/atom) = 1.062
- relative energy among the computed polymorphs (eV/f.u.) = 1.82
- calculated total energy (eV per atom) = -6.03
- symmetry = I-4m2
- energy relative to the elements (eV per atom) = 0.922

Cell and atoms, written as POSCAR:
```
BaY2W
1.0
5.9010 -0.0325 0.0000
1.9180 5.5807 0.0000
-3.9095 -2.7741 3.4414
Ba W Y
1 1 2
Direct
0.5000 0.5000 0.0000
0.7500 0.2500 0.5000
0.0000 0.0000 0.0000
0.2500 0.7500 0.5000
```

***

Entry 2:
DFT (PBE-GGA) results for a relaxed Ce4HPb crystal.

Properties
- density of states at the Fermi level (states/eV/atom) = 2.474
- calculated total energy (eV per atom) = -5.32
- symmetry = C2/m

Cell and atoms, written as POSCAR:
```
Ce4HPb
1.0
5.2934 0.0000 -0.5848
0.0000 6.6341 0.0000
-2.1802 -3.3170 8.3213
Ce H Pb
8 2 2
Direct
0.1010 0.6918 0.3837
0.3380 0.1404 0.7876
0.0000 0.2499 0.0000
0.6620 0.3528 0.2124
0.8990 0.3082 0.6163
0.6620 0.8596 0.2124
0.0000 0.7501 0.0000
0.3380 0.6472 0.7876
0.3036 0.5880 0.1760
0.6964 0.4120 0.8240
0.7443 0.8122 0.6244
0.2557 0.1878 0.3756
```

***

Entry 3:
DFT (PBE-GGA) results for a relaxed K2TaCu crystal.

Properties
- density of states at the Fermi level (states/eV/atom) = 1.152
- relative energy among the computed polymorphs (eV/f.u.) = 2.18
- calculated total energy (eV per atom) = -3.24
- symmetry = Cmmm
- energy relative to the elements (eV per atom) = 1.294

Cell and atoms, written as POSCAR:
```
K2TaCu
1.0
6.6449 0.0191 0.0000
-3.8201 5.4371 0.0000
0.0000 0.0000 2.8210
Cu K Ta
1 2 1
Direct
0.0000 0.5000 0.5000
0.0000 0.0000 0.0000
0.5000 0.5000 0.0000
0.5000 0.0000 0.5000
```

***

Entry 4:
DFT (PBE-GGA) results for a relaxed BeH3I crystal.

Properties
- density of states at the Fermi level (states/eV/atom) = 0.000
- relative energy among the computed polymorphs (eV/f.u.) = 0.00
- calculated total energy (eV per atom) = -3.08
- symmetry = P1

Cell and atoms, written as POSCAR:
```
BeH3I
1.0
3.9701 -0.3366 0.1763
-0.5816 7.9619 -0.8269
0.6260 -4.5800 6.5680
Be H I
2 6 2
Direct
0.0018 0.9864 0.9873
0.5018 0.9851 0.9860
0.7864 0.9196 0.8171
0.2158 0.8200 0.9311
0.2881 0.1525 0.0430
0.7171 0.0526 0.1571
0.9618 0.8448 0.3786
0.0322 0.3801 0.8433
0.7114 0.6129 0.2449
0.2835 0.2459 0.6115
```

***

Entry 5:
DFT (PBE-GGA) results for a relaxed MgAlCl crystal.

Properties
- density of states at the Fermi level (states/eV/atom) = 0.678
- relative energy among the computed polymorphs (eV/f.u.) = 0.09
- calculated total energy (eV per atom) = -2.88
- symmetry = P3m1

Cell and atoms, written as POSCAR:
```
MgAlCl
1.0
3.2944 0.0000 0.0000
-1.6472 2.8531 0.0000
0.0000 0.0000 8.1902
Al Cl Mg
1 1 1
Direct
0.0000 0.0000 0.9203
0.3333 0.6667 0.4454
0.6667 0.3333 0.6343
```

***

Entry 6:
DFT (PBE-GGA) results for a relaxed RbCd2AgPd crystal.

Properties
- density of states at the Fermi level (states/eV/atom) = 0.280
- calculated total energy (eV per atom) = -2.24
- symmetry = P4/mmm
- energy relative to the elements (eV per atom) = -0.067

Cell and atoms, written as POSCAR:
```
RbCd2AgPd
1.0
-2.4108 -4.7074 -0.0772
2.2569 -1.0794 -4.6603
4.2100 -2.1979 2.5479
Rb Pd Ag Cd
1 1 1 2
Direct
0.5000 0.5000 0.5000
0.0000 0.0000 0.0000
0.0000 0.0000 0.5000
0.0000 0.5000 0.0000
0.5000 0.0000 0.0000
```

***

Entry 7:
DFT (PBE-GGA) results for a relaxed HfAl2TcBi crystal.

Properties
- density of states at the Fermi level (states/eV/atom) = 0.990
- calculated total energy (eV per atom) = -4.49
- symmetry = P4/mmm
- energy relative to the elements (eV per atom) = 1.849

Cell and atoms, written as POSCAR:
```
HfAl2TcBi
1.0
-3.2612 -2.2415 -3.3169
-2.7178 -2.2488 4.1918
-3.0765 4.1407 0.2267
Al Hf Bi Tc
2 1 1 1
Direct
0.0000 0.0000 0.5000
0.5000 0.0000 0.0000
0.0000 0.5000 0.0000
0.0000 0.0000 0.0000
0.5000 0.5000 0.5000
```

***

Entry 8:
DFT (PBE-GGA) results for a relaxed SrTlZnW2 crystal.

Properties
- density of states at the Fermi level (states/eV/atom) = 1.360
- calculated total energy (eV per atom) = -4.66
- symmetry = P4/mmm
- energy relative to the elements (eV per atom) = 1.589

Cell and atoms, written as POSCAR:
```
SrTlZnW2
1.0
-0.3459 -4.7106 0.5670
2.1787 0.4349 4.9416
-4.3419 0.5435 1.8664
Sr Tl Zn W
1 1 1 2
Direct
0.0000 0.5000 0.0000
0.5000 0.5000 0.5000
0.0000 0.0000 0.0000
0.0000 0.0000 0.5000
0.5000 0.0000 0.0000
```